No. 1
{"formula": "Tm7Hg2Au2", "functional": "PBE", "state": "optimized geometry", "lattice_angstrom": [[0.737, 2.638, -6.160], [-2.089, -6.271, -2.936], [-6.319, 1.145, 2.050]], "species": ["Tm", "Tm", "Tm", "Tm", "Tm", "Tm", "Tm", "Au", "Au", "Hg", "Hg"], "fractional_positions": [[0.000, 0.732, 0.500], [0.000, 0.268, 0.500], [0.500, 0.732, 0.000], [0.000, 0.000, 0.000], [0.500, 0.255, 0.500], [0.500, 0.268, 0.000], [0.500, 0.745, 0.500], [0.707, 0.000, 0.293], [0.293, 0.000, 0.707], [0.183, 0.500, 0.183], [0.817, 0.500, 0.817]], "dft_energy_ev_per_cell": -41.7, "dos_ef_per_ev_atom": 0.942}



No. 2
{"formula": "CrOs2Au", "functional": "PBE", "state": "optimized geometry", "lattice_angstrom": [[2.796, 0.000, 0.000], [0.000, 2.796, 0.000], [0.000, 0.000, 7.795]], "species": ["Os", "Os", "Cr", "Au"], "fractional_positions": [[0.000, 0.000, 0.004], [0.500, 0.500, 0.225], [0.500, 0.500, 0.766], [0.000, 0.000, 0.504]], "relative_energy_ev_per_atom": 0.046, "dos_ef_per_ev_atom": 0.783}



No. 3
{"formula": "BaLa3C", "functional": "PBE", "state": "optimized geometry", "lattice_angstrom": [[-2.744, -2.475, 4.510], [1.560, -5.271, -1.943], [4.902, 0.293, 3.143]], "species": ["C", "La", "La", "La", "Ba"], "fractional_positions": [[0.500, 0.500, 0.500], [0.000, 0.500, 0.000], [0.500, 0.000, 0.000], [0.000, 0.000, 0.500], [0.000, 0.000, 0.000]], "relative_energy_ev_per_atom": 1.908, "dos_ef_per_ev_atom": 0.985}